Entry 1:
## Lu2MgS4 (PBEsol)

Data for crystalline Lu2MgS4 at its relaxed geometry.

Cell lengths 12.2742, 3.7253, 12.8204 Å; angles 90.00, 90.00, 90.00 degrees
Space group Pnma (No. 62)
One atom of each set of equivalent atoms:
Lu (0.1142, 0.2500, 0.0777) [4 per cell]
Lu (0.1426, 0.2500, 0.7040) [4 per cell]
Mg (0.1183, 0.7500, 0.4393) [4 per cell]
S (0.0161, 0.7500, 0.6161) [4 per cell]
S (0.0303, 0.2500, 0.8822) [4 per cell]
S (0.2209, 0.2500, 0.2556) [4 per cell]
S (0.2445, 0.2500, 0.5171) [4 per cell]

Properties
ΔE to the lowest computed polymorph	0.048	eV/atom
E_tot	-6.0113	eV/atom
raw formation energy	-1869	meV/atom

---

Entry 2:
## Lu2MgS4 (PBEsol)

Data for crystalline Lu2MgS4 at its relaxed geometry.

Cell lengths 10.8623, 10.8623, 10.8623 Å; angles 90.00, 90.00, 90.00 degrees
Space group Fd-3m (No. 227, origin choice 2)
One atom of each set of equivalent atoms:
Lu (0.0000, 0.0000, 0.0000) [16 per cell]
Mg (0.1250, 0.1250, 0.6250) [8 per cell]
S (0.0061, 0.0061, 0.2439) [32 per cell]

Properties
ΔE to the lowest computed polymorph	0.000	eV/atom
E_tot	-6.0593	eV/atom
raw formation energy	-1917	meV/atom

---

Entry 3:
## Lu3Mg2TiS8 (PBEsol)

Data for crystalline Lu3Mg2TiS8 at its relaxed geometry.

Cell lengths 7.6256, 7.6256, 18.2757 Å; angles 90.00, 90.00, 120.00 degrees
Space group R-3m (No. 166, hexagonal axes)
One atom of each set of equivalent atoms:
Lu (0.0000, 0.5000, 0.0000) [9 per cell]
Mg (0.0000, 0.0000, 0.1238) [6 per cell]
Ti (0.0000, 0.0000, 0.5000) [3 per cell]
S (0.0000, 0.0000, 0.2558) [6 per cell]
S (0.0252, 0.5126, 0.2467) [18 per cell]

Properties
E_tot	-6.1441	eV/atom
raw formation energy	-1755	meV/atom